# 1
VASP calculation (GGA-PBE) on crystalline Al3NiPt6 at its relaxed geometry.

Geometry as CIF:
```
data_Al3NiPt6
_chemical_formula_sum 'Al6 Ni2 Pt12'
_cell_length_a 7.325
_cell_length_b 4.431
_cell_length_c 9.697
_cell_angle_alpha 90.00
_cell_angle_beta 111.04
_cell_angle_gamma 90.00
_space_group_name_H-M_alt 'P 1 21/m 1'
_space_group_IT_number 11
_space_group_name_Hall '-P 2yb'
loop_
_atom_site_label
_atom_site_fract_x
_atom_site_fract_y
_atom_site_fract_z
Al1 0.090 0.250 0.236
Al2 0.294 0.250 0.018
Al3 0.326 0.750 0.391
Ni1 0.105 0.750 0.569
Pt1 0.062 0.250 0.708
Pt2 0.108 0.750 0.079
Pt3 0.277 0.750 0.858
Pt4 0.286 0.250 0.528
Pt5 0.467 0.250 0.314
Pt6 0.486 0.250 0.841
```

Density of states at the Fermi level: 0.668 states/eV/atom

=====

# 2
VASP calculation (GGA-PBE) on crystalline AlNiPt at its relaxed geometry.

Geometry as CIF:
```
data_AlNiPt
_chemical_formula_sum 'Al2 Ni2 Pt2'
_cell_length_a 2.903
_cell_length_b 2.903
_cell_length_c 9.463
_cell_angle_alpha 90.00
_cell_angle_beta 90.00
_cell_angle_gamma 90.00
_space_group_name_H-M_alt 'I 4 m m'
_space_group_IT_number 107
_space_group_name_Hall 'I 4 -2'
loop_
_atom_site_label
_atom_site_fract_x
_atom_site_fract_y
_atom_site_fract_z
Al1 0.000 0.000 0.000
Ni1 0.000 0.000 0.643
Pt1 0.000 0.000 0.332
```

Density of states at the Fermi level: 0.456 states/eV/atom

=====

# 3
VASP calculation (GGA-PBE) on crystalline AlNi2Pt at its relaxed geometry.

Geometry as CIF:
```
data_AlNi2Pt
_chemical_formula_sum 'Al2 Ni4 Pt2'
_cell_length_a 2.837
_cell_length_b 4.229
_cell_length_c 8.512
_cell_angle_alpha 90.00
_cell_angle_beta 90.00
_cell_angle_gamma 90.00
_space_group_name_H-M_alt 'I m m m'
_space_group_IT_number 71
_space_group_name_Hall '-I 2 2'
loop_
_atom_site_label
_atom_site_fract_x
_atom_site_fract_y
_atom_site_fract_z
Al1 0.000 0.000 0.000
Ni1 0.000 0.500 0.265
Pt1 0.000 0.000 0.500
```

Density of states at the Fermi level: 0.936 states/eV/atom

=====

# 4
VASP calculation (GGA-PBE) on crystalline AlNi2Pt7 at its relaxed geometry.

Geometry as CIF:
```
data_AlNi2Pt7
_chemical_formula_sum 'Al2 Ni4 Pt14'
_cell_length_a 7.198
_cell_length_b 12.091
_cell_length_c 4.227
_cell_angle_alpha 90.00
_cell_angle_beta 90.00
_cell_angle_gamma 90.00
_space_group_name_H-M_alt 'C m m m'
_space_group_IT_number 65
_space_group_name_Hall '-C 2 2'
loop_
_atom_site_label
_atom_site_fract_x
_atom_site_fract_y
_atom_site_fract_z
Al1 0.000 0.000 0.000
Ni1 0.000 0.299 0.500
Pt1 0.000 0.201 0.000
Pt2 0.000 0.500 0.500
Pt3 0.188 0.113 0.500
```

Density of states at the Fermi level: 1.583 states/eV/atom

=====

# 5
VASP calculation (GGA-PBE) on crystalline AlNi2Pt at its relaxed geometry.

Geometry as CIF:
```
data_AlNi2Pt
_chemical_formula_sum 'Al2 Ni4 Pt2'
_cell_length_a 8.595
_cell_length_b 2.813
_cell_length_c 4.380
_cell_angle_alpha 90.00
_cell_angle_beta 104.95
_cell_angle_gamma 90.00
_space_group_name_H-M_alt 'C 1 m 1'
_space_group_IT_number 8
_space_group_name_Hall 'C -2y'
loop_
_atom_site_label
_atom_site_fract_x
_atom_site_fract_y
_atom_site_fract_z
Al1 0.000 0.000 0.000
Ni1 0.013 0.500 0.531
Ni2 0.260 0.000 0.739
Pt1 0.252 0.500 0.242
```

Density of states at the Fermi level: 1.045 states/eV/atom

=====

# 6
VASP calculation (GGA-PBE) on crystalline Al2NiPt at its relaxed geometry.

Geometry as CIF:
```
data_Al2NiPt
_chemical_formula_sum 'Al2 Ni1 Pt1'
_cell_length_a 2.994
_cell_length_b 2.994
_cell_length_c 5.993
_cell_angle_alpha 90.00
_cell_angle_beta 90.00
_cell_angle_gamma 90.00
_space_group_name_H-M_alt 'P 4/m m m'
_space_group_IT_number 123
_space_group_name_Hall '-P 4 2'
loop_
_atom_site_label
_atom_site_fract_x
_atom_site_fract_y
_atom_site_fract_z
Al1 0.000 0.000 0.230
Ni1 0.500 0.500 0.000
Pt1 0.500 0.500 0.500
```

Density of states at the Fermi level: 0.486 states/eV/atom

=====

# 7
VASP calculation (GGA-PBE) on crystalline Al2NiPt at its relaxed geometry.

Geometry as CIF:
```
data_Al2NiPt
_chemical_formula_sum 'Al4 Ni2 Pt2'
_cell_length_a 3.629
_cell_length_b 3.663
_cell_length_c 8.165
_cell_angle_alpha 90.00
_cell_angle_beta 90.00
_cell_angle_gamma 90.00
_space_group_name_H-M_alt 'I m m 2'
_space_group_IT_number 44
_space_group_name_Hall 'I 2 -2'
loop_
_atom_site_label
_atom_site_fract_x
_atom_site_fract_y
_atom_site_fract_z
Al1 0.000 0.000 0.000
Al2 0.000 0.500 0.249
Ni1 0.000 0.500 0.748
Pt1 0.000 0.000 0.499
```

Density of states at the Fermi level: 0.357 states/eV/atom

=====

# 8
VASP calculation (GGA-PBE) on crystalline AlNi3Pt at its relaxed geometry.

Geometry as CIF:
```
data_AlNi3Pt
_chemical_formula_sum 'Al2 Ni6 Pt2'
_cell_length_a 8.450
_cell_length_b 4.886
_cell_length_c 5.005
_cell_angle_alpha 90.00
_cell_angle_beta 125.21
_cell_angle_gamma 90.00
_space_group_name_H-M_alt 'C 1 2/m 1'
_space_group_IT_number 12
_space_group_name_Hall '-C 2y'
loop_
_atom_site_label
_atom_site_fract_x
_atom_site_fract_y
_atom_site_fract_z
Al1 0.000 0.000 0.000
Ni1 0.000 0.500 0.000
Ni2 0.250 0.250 0.000
Pt1 0.000 0.000 0.500
```

Density of states at the Fermi level: 1.766 states/eV/atom
Offset from the most stable computed form: 0 meV per atom

=====

# 9
VASP calculation (GGA-PBE) on crystalline Al3NiPt at its relaxed geometry.

Geometry as CIF:
```
data_Al3NiPt
_chemical_formula_sum 'Al3 Ni1 Pt1'
_cell_length_a 4.386
_cell_length_b 4.386
_cell_length_c 4.386
_cell_angle_alpha 90.00
_cell_angle_beta 90.00
_cell_angle_gamma 90.00
_space_group_name_H-M_alt 'P m -3 m'
_space_group_IT_number 221
_space_group_name_Hall '-P 4 2 3'
loop_
_atom_site_label
_atom_site_fract_x
_atom_site_fract_y
_atom_site_fract_z
Al1 0.000 0.000 0.500
Ni1 0.000 0.000 0.000
Pt1 0.500 0.500 0.500
```

Density of states at the Fermi level: 0.457 states/eV/atom
Offset from the most stable computed form: 0 meV per atom

=====

# 10
VASP calculation (GGA-PBE) on crystalline Al2NiPt at its relaxed geometry.

Geometry as CIF:
```
data_Al2NiPt
_chemical_formula_sum 'Al6 Ni3 Pt3'
_cell_length_a 2.8229
_cell_length_b 2.8229
_cell_length_c 24.2130
_cell_angle_alpha 90.00
_cell_angle_beta 90.00
_cell_angle_gamma 120.00
_space_group_name_H-M_alt 'R -3 m'
_space_group_IT_number 166
_space_group_name_Hall '-R 3 2"'
loop_
_atom_site_label
_atom_site_fract_x
_atom_site_fract_y
_atom_site_fract_z
Al1 0.0000 0.0000 0.2452
Ni1 0.0000 0.0000 0.5000
Pt1 0.0000 0.0000 0.0000
```

Density of states at the Fermi level: 0.382 states/eV/atom

=====

# 11
VASP calculation (GGA-PBE) on crystalline Al2NiPt at its relaxed geometry.

Geometry as CIF:
```
data_Al2NiPt
_chemical_formula_sum 'Al4 Ni2 Pt2'
_cell_length_a 2.700
_cell_length_b 4.591
_cell_length_c 10.020
_cell_angle_alpha 90.00
_cell_angle_beta 90.00
_cell_angle_gamma 90.00
_space_group_name_H-M_alt 'I m m m'
_space_group_IT_number 71
_space_group_name_Hall '-I 2 2'
loop_
_atom_site_label
_atom_site_fract_x
_atom_site_fract_y
_atom_site_fract_z
Al1 0.000 0.000 0.245
Ni1 0.000 0.000 0.000
Pt1 0.000 0.000 0.500
```

Density of states at the Fermi level: 0.590 states/eV/atom

=====

# 12
VASP calculation (GGA-PBE) on crystalline AlNi8Pt2 at its relaxed geometry.

Geometry as CIF:
```
data_AlNi8Pt2
_chemical_formula_sum 'Al2 Ni16 Pt4'
_cell_length_a 3.774
_cell_length_b 10.861
_cell_length_c 6.700
_cell_angle_alpha 90.00
_cell_angle_beta 90.00
_cell_angle_gamma 90.00
_space_group_name_H-M_alt 'I m m 2'
_space_group_IT_number 44
_space_group_name_Hall 'I 2 -2'
loop_
_atom_site_label
_atom_site_fract_x
_atom_site_fract_y
_atom_site_fract_z
Al1 0.000 0.000 0.000
Ni1 0.000 0.000 0.576
Ni2 0.000 0.153 0.283
Ni3 0.000 0.183 0.798
Ni4 0.000 0.336 0.521
Ni5 0.000 0.500 0.770
Pt1 0.000 0.346 0.060
```

Density of states at the Fermi level: 1.393 states/eV/atom

=====

# 13
VASP calculation (GGA-PBE) on crystalline AlNiPt at its relaxed geometry.

Geometry as CIF:
```
data_AlNiPt
_chemical_formula_sum 'Al1 Ni1 Pt1'
_cell_length_a 4.1021
_cell_length_b 4.1021
_cell_length_c 2.7714
_cell_angle_alpha 90.00
_cell_angle_beta 90.00
_cell_angle_gamma 120.00
_space_group_name_H-M_alt 'P 3 m 1'
_space_group_IT_number 156
_space_group_name_Hall 'P 3 -2"'
loop_
_atom_site_label
_atom_site_fract_x
_atom_site_fract_y
_atom_site_fract_z
Al1 0.0000 0.0000 0.0000
Ni1 0.6667 0.3333 0.1458
Pt1 0.3333 0.6667 0.5997
```

Density of states at the Fermi level: 0.525 states/eV/atom

=====

# 14
VASP calculation (GGA-PBE) on crystalline Al2NiPt3 at its relaxed geometry.

Geometry as CIF:
```
data_Al2NiPt3
_chemical_formula_sum 'Al8 Ni4 Pt12'
_cell_length_a 7.158
_cell_length_b 10.102
_cell_length_c 5.519
_cell_angle_alpha 90.00
_cell_angle_beta 90.00
_cell_angle_gamma 90.00
_space_group_name_H-M_alt 'I b a m'
_space_group_IT_number 72
_space_group_name_Hall '-I 2 2c'
loop_
_atom_site_label
_atom_site_fract_x
_atom_site_fract_y
_atom_site_fract_z
Al1 0.217 0.140 0.000
Ni1 0.000 0.500 0.000
Pt1 0.000 0.000 0.250
Pt2 0.000 0.283 0.250
```

Density of states at the Fermi level: 0.645 states/eV/atom
Offset from the most stable computed form: 108 meV per atom

=====

# 15
VASP calculation (GGA-PBE) on crystalline AlNi2Pt at its relaxed geometry.

Geometry as CIF:
```
data_AlNi2Pt
_chemical_formula_sum 'Al2 Ni4 Pt2'
_cell_length_a 8.806
_cell_length_b 2.789
_cell_length_c 4.338
_cell_angle_alpha 90.00
_cell_angle_beta 105.82
_cell_angle_gamma 90.00
_space_group_name_H-M_alt 'C 1 2/m 1'
_space_group_IT_number 12
_space_group_name_Hall '-C 2y'
loop_
_atom_site_label
_atom_site_fract_x
_atom_site_fract_y
_atom_site_fract_z
Al1 0.000 0.000 0.000
Ni1 0.241 0.500 0.241
Pt1 0.000 0.500 0.500
```

Density of states at the Fermi level: 1.275 states/eV/atom

=====

# 16
VASP calculation (GGA-PBE) on crystalline AlNi2Pt at its relaxed geometry.

Geometry as CIF:
```
data_AlNi2Pt
_chemical_formula_sum 'Al1 Ni2 Pt1'
_cell_length_a 2.697
_cell_length_b 3.544
_cell_length_c 5.337
_cell_angle_alpha 90.00
_cell_angle_beta 90.00
_cell_angle_gamma 90.00
_space_group_name_H-M_alt 'P m m m'
_space_group_IT_number 47
_space_group_name_Hall '-P 2 2'
loop_
_atom_site_label
_atom_site_fract_x
_atom_site_fract_y
_atom_site_fract_z
Al1 0.000 0.000 0.000
Ni1 0.500 0.500 0.236
Pt1 0.000 0.000 0.500
```

Density of states at the Fermi level: 1.042 states/eV/atom

=====

# 17
VASP calculation (GGA-PBE) on crystalline AlNiPt at its relaxed geometry.

Geometry as CIF:
```
data_AlNiPt
_chemical_formula_sum 'Al1 Ni1 Pt1'
_cell_length_a 3.533
_cell_length_b 3.438
_cell_length_c 3.809
_cell_angle_alpha 90.00
_cell_angle_beta 90.11
_cell_angle_gamma 90.00
_space_group_name_H-M_alt 'P 1 2/m 1'
_space_group_IT_number 10
_space_group_name_Hall '-P 2y'
loop_
_atom_site_label
_atom_site_fract_x
_atom_site_fract_y
_atom_site_fract_z
Al1 0.000 0.000 0.000
Ni1 0.500 0.500 0.000
Pt1 0.500 0.000 0.500
```

Density of states at the Fermi level: 0.568 states/eV/atom

=====

# 18
VASP calculation (GGA-PBE) on crystalline Al2NiPt at its relaxed geometry.

Geometry as CIF:
```
data_Al2NiPt
_chemical_formula_sum 'Al6 Ni3 Pt3'
_cell_length_a 2.8422
_cell_length_b 2.8422
_cell_length_c 24.6526
_cell_angle_alpha 90.00
_cell_angle_beta 90.00
_cell_angle_gamma 120.00
_space_group_name_H-M_alt 'R 3 m'
_space_group_IT_number 160
_space_group_name_Hall 'R 3 -2"'
loop_
_atom_site_label
_atom_site_fract_x
_atom_site_fract_y
_atom_site_fract_z
Al1 0.0000 0.0000 0.0000
Al2 0.0000 0.0000 0.2417
Ni1 0.0000 0.0000 0.7398
Pt1 0.0000 0.0000 0.4941
```

Density of states at the Fermi level: 0.561 states/eV/atom

=====

# 19
VASP calculation (GGA-PBE) on crystalline AlNi6Pt at its relaxed geometry.

Geometry as CIF:
```
data_AlNi6Pt
_chemical_formula_sum 'Al8 Ni48 Pt8'
_cell_length_a 7.204
_cell_length_b 10.221
_cell_length_c 10.231
_cell_angle_alpha 90.00
_cell_angle_beta 90.00
_cell_angle_gamma 90.00
_space_group_name_H-M_alt 'C m m m'
_space_group_IT_number 65
_space_group_name_Hall '-C 2 2'
loop_
_atom_site_label
_atom_site_fract_x
_atom_site_fract_y
_atom_site_fract_z
Al1 0.000 0.000 0.247
Al2 0.000 0.250 0.000
Ni1 0.000 0.000 0.000
Ni2 0.000 0.000 0.500
Ni3 0.000 0.247 0.246
Ni4 0.000 0.500 0.000
Ni5 0.000 0.500 0.500
Ni6 0.247 0.124 0.372
Ni7 0.248 0.126 0.122
Pt1 0.000 0.249 0.500
Pt2 0.000 0.500 0.249
```

Density of states at the Fermi level: 1.322 states/eV/atom

=====

# 20
VASP calculation (GGA-PBE) on crystalline AlNi2Pt at its relaxed geometry.

Geometry as CIF:
```
data_AlNi2Pt
_chemical_formula_sum 'Al4 Ni8 Pt4'
_cell_length_a 3.560
_cell_length_b 3.560
_cell_length_c 17.652
_cell_angle_alpha 90.00
_cell_angle_beta 90.00
_cell_angle_gamma 90.00
_space_group_name_H-M_alt 'I -4 2 d'
_space_group_IT_number 122
_space_group_name_Hall 'I -4 2bw'
loop_
_atom_site_label
_atom_site_fract_x
_atom_site_fract_y
_atom_site_fract_z
Al1 0.000 0.000 0.000
Ni1 0.245 0.250 0.125
Pt1 0.000 0.000 0.500
```

Density of states at the Fermi level: 1.252 states/eV/atom

=====

Listing DFT formation energy for the structures above in their given order: -6.90, -1.95, -1.79, 1.95, -1.88, -3.20, -3.10, 1.49, -0.52, -2.33, 0.07, -0.98, -1.76, -3.40, -1.82, -1.78, -1.05, -1.44, -1.95, -0.62 eV per formula unit.